Compound: CaMnRu2
Source: Alexandria
Functional: PBE
Structure: relaxed

The space group is P4mm (No. 99) and the conventional cell measures 3.132, 3.132 and 7.316 Å, with angles of 90.00, 90.00 and 90.00 degrees. The asymmetric unit holds Ca at (0.000, 0.000, 0.000), Mn at (0.500, 0.500, 0.332), Ru at (0.000, 0.000, 0.519) and Ru at (0.500, 0.500, 0.715).

The total magnetization comes out at 4.56 μB/cell. As for the final energy: -7.065 eV per atom.